# 1
Here is an optimized crystal structure of Sc2CrCuTc from Alexandria via LeMat-Bulk. Energies are from PBE.

It has space group P4/mmm (No. 123), with a = 4.857 Å, b = 4.857 Å, c = 4.282 Å, α = 90.00°, β = 90.00° and γ = 90.00°. The inequivalent atoms are Sc at (0.000, 0.500, 0.000), Cr at (0.000, 0.000, 0.000), Cu at (0.500, 0.500, 0.500) and Tc at (0.000, 0.000, 0.500).

For the formation energy, the calculation gives 0.680 eV per atom. The calculation puts the volume at 101.0 Å³ per cell.



# 2
Here is an optimized crystal structure of Pa2SiP from Alexandria via LeMat-Bulk. Energies are from PBE.

It has space group Cmcm (No. 63), with a = 3.985 Å, b = 21.879 Å, c = 4.047 Å, α = 90.00°, β = 90.00° and γ = 90.00°. The inequivalent atoms are Pa at (0.000, 0.066, 0.250), Pa at (0.000, 0.318, 0.250), Si at (0.000, 0.457, 0.250) and P at (0.000, 0.191, 0.250).

The energy relative to the elements, uncorrected comes out at -0.8459 eV per atom. The calculation puts the volume at 352.9 Å³ per cell.



# 3
Here is an optimized crystal structure of Ba2MgBe from Alexandria via LeMat-Bulk. Energies are from PBE.

It has space group I-42d (No. 122), with a = 9.415 Å, b = 9.415 Å, c = 7.061 Å, α = 90.00°, β = 90.00° and γ = 90.00°. The inequivalent atoms are Ba at (0.188, 0.250, 0.125), Mg at (0.000, 0.000, 0.500) and Be at (0.000, 0.000, 0.000).

For the formation energy, the calculation gives 0.563 eV per atom. The calculation puts the volume at 625.9 Å³ per cell. As for the energy above the most stable polymorph in this dataset: 287 meV per atom.



# 4
Here is an optimized crystal structure of Hg2Ru from Alexandria via LeMat-Bulk. Energies are from PBE.

It has space group Cmcm (No. 63), with a = 3.066 Å, b = 17.059 Å, c = 4.586 Å, α = 90.00°, β = 90.00° and γ = 90.00°. The inequivalent atoms are Hg at (0.000, 0.095, 0.250), Hg at (0.000, 0.202, 0.750) and Ru at (0.000, 0.456, 0.250).

For the formation energy, the calculation gives 0.501 eV per atom. The calculation puts the volume at 239.8 Å³ per cell.



# 5
Here is an optimized crystal structure of Dy5Tl2Hg from Alexandria via LeMat-Bulk. Energies are from PBE.

It has space group Pbam (No. 55), with a = 6.755 Å, b = 13.154 Å, c = 5.090 Å, α = 90.00°, β = 90.00° and γ = 90.00°. The inequivalent atoms are Dy at (0.000, 0.000, 0.000), Dy at (0.130, 0.276, 0.000), Dy at (0.166, 0.606, 0.500), Tl at (0.129, 0.852, 0.500) and Hg at (0.000, 0.500, 0.000).

For the formation energy, the calculation gives -0.312 eV per atom. The calculation puts the volume at 452.3 Å³ per cell. As for the energy above the most stable polymorph in this dataset: 0 meV per atom.



# 6
Here is an optimized crystal structure of Na4Tl2Pd from Alexandria via LeMat-Bulk. Energies are from PBE.

It has space group P-1 (No. 2), with a = 6.052 Å, b = 7.368 Å, c = 9.639 Å, α = 77.61°, β = 74.57° and γ = 71.02°. The inequivalent atoms are Na at (0.016, 0.190, 0.302), Na at (0.059, 0.247, 0.620), Na at (0.466, 0.223, 0.844), Na at (0.469, 0.778, 0.758), Tl at (0.000, 0.000, 0.000), Tl at (0.180, 0.555, 0.068), Tl at (0.500, 0.500, 0.500) and Pd at (0.392, 0.890, 0.461).

For the formation energy, the calculation gives -0.105 eV per atom. The calculation puts the volume at 387.9 Å³ per cell.



# 7
Here is an optimized crystal structure of Sm8Ga2Co from Alexandria via LeMat-Bulk. Energies are from PBE.

It has space group Immm (No. 71), with a = 4.881 Å, b = 8.651 Å, c = 14.324 Å, α = 90.00°, β = 90.00° and γ = 90.00°. The inequivalent atoms are Sm at (0.000, 0.000, 0.123), Sm at (0.000, 0.223, 0.341), Sm at (0.000, 0.330, 0.000), Ga at (0.000, 0.500, 0.197) and Co at (0.000, 0.500, 0.500).

For the formation energy, the calculation gives -0.091 eV per atom. The calculation puts the volume at 604.8 Å³ per cell. As for the energy above the most stable polymorph in this dataset: 118 meV per atom.



# 8
Here is an optimized crystal structure of LiFe2Ag2 from Alexandria via LeMat-Bulk. Energies are from PBE.

It has space group I4/mmm (No. 139), with a = 3.967 Å, b = 3.967 Å, c = 11.390 Å, α = 90.00°, β = 90.00° and γ = 90.00°. The inequivalent atoms are Li at (0.000, 0.000, 0.000), Fe at (0.000, 0.000, 0.407) and Ag at (0.000, 0.500, 0.250).

For the formation energy, the calculation gives 0.598 eV per atom. The calculation puts the volume at 179.3 Å³ per cell. As for the energy above the most stable polymorph in this dataset: 257 meV per atom.



# 9
Here is an optimized crystal structure of TcAg3 from Alexandria via LeMat-Bulk. Energies are from PBE.

It has space group Cmcm (No. 63), with a = 8.817 Å, b = 8.264 Å, c = 3.805 Å, α = 90.00°, β = 90.00° and γ = 90.00°. The inequivalent atoms are Tc at (0.000, 0.085, 0.250), Ag at (0.000, 0.364, 0.750) and Ag at (0.242, 0.372, 0.250).

For the formation energy, the calculation gives 0.312 eV per atom. The calculation puts the volume at 277.2 Å³ per cell. As for the energy above the most stable polymorph in this dataset: 0 meV per atom.



# 10
Here is an optimized crystal structure of Rb2DyGeSe4 from Alexandria via LeMat-Bulk. Energies are from PBE.

It has space group Fddd (No. 70, origin choice 2), with a = 6.694 Å, b = 14.777 Å, c = 25.466 Å, α = 90.00°, β = 90.00° and γ = 90.00°. The inequivalent atoms are Rb at (0.125, 0.125, 0.308), Dy at (0.125, 0.125, 0.125), Ge at (0.125, 0.125, 0.625) and Se at (0.108, 0.273, 0.822).

The energy relative to the elements, uncorrected comes out at -1.0189 eV per atom. The calculation puts the volume at 2518.9 Å³ per cell.